# Nd2ErTm5Sc GGA-PBE relaxed
data_Nd2ErTm5Sc
_space_group_name_H-M_alt 'C m c 21'
_space_group_IT_number 36
_space_group_name_Hall 'C 2c -2'
_cell_length_a 5.503
_cell_length_b 19.825
_cell_length_c 10.308
_cell_angle_alpha 90.00
_cell_angle_beta 90.00
_cell_angle_gamma 90.00
loop_
_atom_site_label
_atom_site_type_symbol
_atom_site_fract_x
_atom_site_fract_y
_atom_site_fract_z
Nd1 Nd 0.000 0.113 0.000
Nd2 Nd 0.000 0.115 0.420
Er1 Er 0.000 0.409 0.144
Tm1 Tm 0.000 0.016 0.704
Tm2 Tm 0.000 0.275 0.005
Tm3 Tm 0.000 0.299 0.388
Tm4 Tm 0.000 0.377 0.705
Tm5 Tm 0.000 0.482 0.425
Sc1 Sc 0.000 0.196 0.699
# ΔE_f: 156 meV/atom
# VASP energy: -4.5984 eV/atom
# density of states at the Fermi level: 1.3484 states/eV/atom
# M_tot: 0.0 μB/f.u.